Material: Sc3Co9SiC2
Method: DFT, GGA-PBE
State: optimized geometry

Cell lengths 5.5155, 5.5155, 6.9231 Å; angles 90.00, 90.00, 120.00 degrees
Closest atoms and distances in Å follow each position.
Positions (direct):
Co1 0.3552 0.1776 0.6927  1 C 1.87
Co2 0.5000 0.5000 0.0000  2 C 1.88
Co3 0.0000 0.5000 0.0000  2 C 1.88
Co4 0.5000 0.0000 0.0000  2 C 1.88
Co5 0.6448 0.8224 0.3073  1 C 1.87
Co6 0.1776 0.3552 0.3073  1 C 1.87
Co7 0.1776 0.8224 0.3073  1 C 1.87
Co8 0.8224 0.6448 0.6927  1 C 1.87
Co9 0.8224 0.1776 0.6927  1 C 1.87
Sc1 0.3333 0.6667 0.6572  12 Co 2.77-2.86
Sc2 0.6667 0.3333 0.3428  12 Co 2.77-2.86
Sc3 0.0000 0.0000 0.0000  12 Co 2.72-2.76
C1 0.6667 0.3333 0.8551  6 Co 1.87-1.88
C2 0.3333 0.6667 0.1449  6 Co 1.87-1.88
Si1 0.0000 0.0000 0.5000  6 Co 2.16

## Properties
- Magnetization: 0.0 μB/cell
- SG: No. 164
- Formation energy from raw total energies: -0.2434 eV per atom


Material: Sc2CoSnC
Method: DFT, GGA-PBE
State: optimized geometry

Cell lengths 4.5963, 4.5963, 3.8200 Å; angles 90.00, 90.00, 90.00 degrees
Closest atoms and distances in Å follow each position.
Positions (direct):
Sn1 0.5000 0.5000 0.5000  8 Sc 2.99, 4 Co 3.25
Co1 0.0000 0.0000 0.5000  2 C 1.91
C1 0.0000 0.0000 0.0000  2 Co 1.91
Sc1 0.5000 0.0000 0.0000  2 C 2.30
Sc2 0.0000 0.5000 0.0000  2 C 2.30

## Properties
- Magnetization: 0.0 μB/cell
- SG: No. 123
- Formation enthalpy at 0 K: -0.45 eV per atom


Material: Sc2TaCoC
Method: DFT, GGA-PBE
State: optimized geometry

Cell lengths 5.1690, 5.1690, 4.0100 Å; angles 90.00, 90.00, 90.00 degrees
Closest atoms and distances in Å follow each position.
Positions (direct):
Ta1 0.0000 0.0000 0.0000  2 C 2.00
Co1 0.5000 0.5000 0.5000  8 Sc 3.27, 4 C 3.66
C1 0.0000 0.0000 0.5000  2 Ta 2.00
Sc1 0.0000 0.5000 0.0000  2 Ta 2.58
Sc2 0.5000 0.0000 0.0000  2 Ta 2.58

## Properties
- Magnetization: 0.1 μB/cell
- SG: No. 123
- Formation enthalpy at 0 K: 1.44 eV per atom


Material: Sc2TaCoC
Method: DFT, GGA-PBE
State: optimized geometry

Cell lengths 4.6825, 4.4715, 4.6825 Å; angles 90.00, 90.00, 90.00 degrees
Closest atoms and distances in Å follow each position.
Positions (direct):
Sc1 0.5000 0.0000 0.0000  2 Co 2.34
Sc2 0.0000 0.0000 0.5000  2 Co 2.34
Ta1 0.0000 0.5000 0.0000  2 Co 2.24
Co1 0.0000 0.0000 0.0000  2 Ta 2.24, 4 Sc 2.34
C1 0.5000 0.5000 0.5000  8 Sc 3.24, 4 Ta 3.31

## Properties
- Magnetization: 0.0 μB/cell
- SG: No. 123
- Formation enthalpy at 0 K: 1.23 eV per atom